(w)
A relaxed structure of CrSiI2O, computed with GGA+U.

Geometry as POSCAR:
```
CrSiI2O
1.0
5.712 0.000 0.000
0.000 5.712 0.000
0.000 0.000 3.562
Si Cr I O
1 1 2 1
Cartesian
0.000 0.000 0.000 Si
2.856 2.856 1.781 Cr
0.000 2.856 0.000 I
2.856 0.000 0.000 I
0.000 0.000 1.781 O
```

- DOS at the Fermi energy (states/eV/cell) = 0.98

***

(x)
A relaxed structure of CrSiI2O, computed with GGA+U.

Geometry as POSCAR:
```
CrSiI2O
1.0
5.744 0.000 0.000
0.000 5.744 0.000
0.000 0.000 3.700
I Cr Si O
2 1 1 1
Cartesian
2.872 0.000 0.000 I
0.000 2.872 0.000 I
0.000 0.000 0.000 Cr
2.872 2.872 1.850 Si
0.000 0.000 1.850 O
```

- DOS at the Fermi energy (states/eV/cell) = 2.81

***

Tell me which of them is the most stable. Sure, it is (w).

***

(w)
A relaxed structure of CrSnI2O, computed with GGA+U.

Geometry as POSCAR:
```
CrSnI2O
1.0
5.932 0.000 0.000
0.000 5.932 0.000
0.000 0.000 3.750
I Sn O Cr
2 1 1 1
Cartesian
2.966 0.000 0.000 I
0.000 2.966 0.000 I
2.966 2.966 1.875 Sn
0.000 0.000 1.875 O
0.000 0.000 0.000 Cr
```

- DOS at the Fermi energy (states/eV/cell) = 2.27

***

(x)
A relaxed structure of CrSnI2O, computed with GGA+U.

Geometry as POSCAR:
```
CrSnI2O
1.0
6.139 0.000 0.000
0.000 6.139 0.000
0.000 0.000 4.056
O I Sn Cr
1 2 1 1
Cartesian
0.000 0.000 2.028 O
3.070 0.000 0.000 I
0.000 3.070 0.000 I
0.000 0.000 0.000 Sn
3.070 3.070 2.028 Cr
```

- DOS at the Fermi energy (states/eV/cell) = 1.02

***

Tell me which of them is the most stable. Sure, it is (w).

***

(w)
A relaxed structure of TaCrIO2, computed with GGA+U.

Geometry as POSCAR:
```
TaCrIO2
1.0
3.916 0.000 0.000
0.000 3.916 0.000
0.000 0.000 5.631
O Ta Cr I
2 1 1 1
Cartesian
1.958 0.000 0.000 O
0.000 1.958 0.000 O
1.958 1.958 2.815 Ta
0.000 0.000 0.000 Cr
0.000 0.000 2.815 I
```

- DOS at the Fermi energy (states/eV/cell) = 4.68

***

(x)
A relaxed structure of TaCrIO2, computed with GGA+U.

Geometry as POSCAR:
```
TaCrIO2
1.0
-2.264 -1.566 -2.885
2.765 -2.799 -0.650
-2.713 -3.633 4.102
I O Cr Ta
1 2 1 1
Cartesian
-1.357 -1.817 2.051 I
-1.132 -0.783 -1.442 O
1.383 -1.400 -0.325 O
-1.106 -3.999 0.284 Cr
0.000 0.000 0.000 Ta
```

- DOS at the Fermi energy (states/eV/cell) = 1.19

***

Tell me which of them is the most stable. Sure, it is (x).

***

(w)
A relaxed structure of CrTcI2O, computed with GGA+U.

Geometry as POSCAR:
```
CrTcI2O
1.0
5.475 0.000 0.000
0.000 5.475 0.000
0.000 0.000 3.557
Tc I O Cr
1 2 1 1
Cartesian
2.738 2.738 1.778 Tc
0.000 2.738 0.000 I
2.738 0.000 0.000 I
0.000 0.000 1.778 O
0.000 0.000 0.000 Cr
```

- DOS at the Fermi energy (states/eV/cell) = 8.07

***

(x)
A relaxed structure of CrTcI2O, computed with GGA+U.

Geometry as POSCAR:
```
CrTcI2O
1.0
5.634 0.000 0.000
0.000 5.634 0.000
0.000 0.000 3.760
I Tc O Cr
2 1 1 1
Cartesian
0.000 2.817 0.000 I
2.817 0.000 0.000 I
0.000 0.000 0.000 Tc
0.000 0.000 1.880 O
2.817 2.817 1.880 Cr
```

- DOS at the Fermi energy (states/eV/cell) = 2.51

***

Tell me which of them is the most stable. Sure, it is (x).

***

(w)
A relaxed structure of CrTeI2O, computed with GGA+U.

Geometry as POSCAR:
```
CrTeI2O
1.0
-3.246 2.157 -3.786
0.339 -4.582 -2.901
-4.076 -1.848 2.442
I Cr O Te
2 1 1 1
Cartesian
0.170 -2.291 -1.451 I
-1.623 1.079 -1.893 I
0.000 0.000 0.000 Cr
-3.492 -2.136 -2.123 O
-2.038 -0.924 1.221 Te
```

- DOS at the Fermi energy (states/eV/cell) = 14.35

***

(x)
A relaxed structure of CrTeI2O, computed with GGA+U.

Geometry as POSCAR:
```
CrTeI2O
1.0
-0.677 3.937 -3.487
-4.181 -2.536 -2.052
-2.756 2.149 2.961
O Te Cr I
1 1 1 2
Cartesian
0.000 0.000 0.000 O
-1.378 1.074 1.480 Te
-3.807 1.775 -1.289 Cr
-0.338 1.968 -1.744 I
-2.090 -1.268 -1.026 I
```

- DOS at the Fermi energy (states/eV/cell) = 3.00

***

Tell me which of them is the most stable. Sure, it is (x).

***

(w)
A relaxed structure of CrTe2IO, computed with GGA+U.

Geometry as POSCAR:
```
CrTe2IO
1.0
-1.043 2.432 3.576
0.589 -3.564 2.596
7.131 1.802 0.855
Te Cr I O
2 1 1 1
Cartesian
0.295 -1.782 1.298 Te
-0.522 1.216 1.788 Te
3.339 0.335 3.513 Cr
3.565 0.901 0.427 I
0.000 0.000 0.000 O
```

- DOS at the Fermi energy (states/eV/cell) = 3.79

***

(x)
A relaxed structure of CrTe2IO, computed with GGA+U.

Geometry as POSCAR:
```
CrTe2IO
1.0
-1.594 1.713 4.789
4.305 -2.218 2.226
2.928 4.903 -0.779
Te O Cr I
2 1 1 1
Cartesian
2.153 -1.109 1.113 Te
-0.797 0.856 2.395 Te
2.820 2.199 3.118 O
0.000 0.000 0.000 Cr
1.464 2.451 -0.389 I
```

- DOS at the Fermi energy (states/eV/cell) = 3.56

***

Tell me which of them is the most stable. Sure, it is (w).

***

(w)
A relaxed structure of CrTeIO2, computed with GGA+U.

Geometry as POSCAR:
```
CrTeIO2
1.0
-0.890 -3.434 2.094
3.979 -1.063 -0.052
0.966 3.329 5.868
I Te Cr O
1 1 1 2
Cartesian
0.483 1.664 2.934 I
0.000 0.000 0.000 Te
2.028 -0.584 3.955 Cr
-0.445 -1.717 1.047 O
1.990 -0.531 -0.026 O
```

- DOS at the Fermi energy (states/eV/cell) = 0.58

***

(x)
A relaxed structure of CrTeIO2, computed with GGA+U.

Geometry as POSCAR:
```
CrTeIO2
1.0
-2.730 2.839 0.879
-0.372 -1.511 3.723
5.284 4.369 2.301
O I Cr Te
2 1 1 1
Cartesian
-0.186 -0.755 1.862 O
-1.365 1.419 0.439 O
2.642 2.185 1.151 I
0.000 0.000 0.000 Cr
1.090 2.849 3.452 Te
```

- DOS at the Fermi energy (states/eV/cell) = 4.10

***

Tell me which of them is the most stable. Sure, it is (w).